# 1
! K2Ni3S2 (PBE, relaxed); values from VASP
! Space group: Fddd (70)
! Formation energy without anion corrections (eV/atom): -0.3782
! Spin magnetization (μB per cell): 4.69
! VASP energy (eV/cell): -121.76
&SYSTEM
  ibrav = 0, nat = 28, ntyp = 3
/
ATOMIC_SPECIES
K 39.10 K.upf
Ni 58.69 Ni.upf
S 32.06 S.upf
CELL_PARAMETERS angstrom
0.000 6.775 10.625
4.644 0.000 10.625
4.644 6.775 0.000
ATOMIC_POSITIONS crystal
K 0.933 0.606 0.306
K 0.606 0.933 0.154
K 0.154 0.306 0.606
K 0.317 0.644 0.944
K 0.306 0.154 0.933
K 0.644 0.317 0.096
K 0.096 0.944 0.644
K 0.944 0.096 0.317
Ni 0.792 0.468 0.310
Ni 0.468 0.792 0.430
Ni 0.430 0.310 0.468
Ni 0.458 0.782 0.940
Ni 0.310 0.430 0.792
Ni 0.782 0.458 0.820
Ni 0.820 0.940 0.782
Ni 0.940 0.820 0.458
Ni 0.625 0.125 0.625
Ni 0.125 0.625 0.625
Ni 0.625 0.625 0.125
Ni 0.625 0.625 0.625
S 0.524 0.228 0.902
S 0.228 0.524 0.346
S 0.346 0.902 0.228
S 0.726 0.022 0.348
S 0.902 0.346 0.524
S 0.022 0.726 0.904
S 0.904 0.348 0.022
S 0.348 0.904 0.726


# 2
! PrZn2Sb (PBE, relaxed); values from VASP
! Space group: P4/mmm (123)
! Formation energy without anion corrections (eV/atom): -0.4186
! Spin magnetization (μB per cell): 0.00
! VASP energy (eV/cell): -13.12
&SYSTEM
  ibrav = 0, nat = 4, ntyp = 3
/
ATOMIC_SPECIES
Pr 140.91 Pr.upf
Sb 121.76 Sb.upf
Zn 65.41 Zn.upf
CELL_PARAMETERS angstrom
4.648 0.000 0.000
0.000 4.481 0.000
0.000 0.000 4.481
ATOMIC_POSITIONS crystal
Pr 0.500 0.000 0.000
Sb 0.500 0.500 0.500
Zn 0.000 0.000 0.500
Zn 0.000 0.500 0.000


# 3
! Cd2AgAs (PBE, relaxed); values from VASP
! Space group: R3m (160)
! Spin magnetization (μB per cell): 0.00
! Calculated formation energy (eV per atom): 0.119
! VASP energy (eV/cell): -8.86
&SYSTEM
  ibrav = 0, nat = 4, ntyp = 3
/
ATOMIC_SPECIES
As 74.92 As.upf
Ag 107.87 Ag.upf
Cd 112.41 Cd.upf
CELL_PARAMETERS angstrom
10.242 -0.023 -0.014
9.788 3.014 -0.014
9.788 1.462 2.636
ATOMIC_POSITIONS crystal
As 0.755 0.755 0.755
Ag 0.496 0.496 0.496
Cd 0.005 0.005 0.005
Cd 0.244 0.244 0.244